5
Lattice="-0.9879 -0.3328 3.4850 2.0298 -4.5300 0.1427 4.3269 1.9834 1.4159" Properties=species:S:1:pos:R:3 comment="Dy2NiPdC | the Alexandria database | GGA-PBE | optimized geometry" formation_enthalpy_0k_mev_per_atom=-567 pbc="T T T"
Pd 2.6844 -1.4397 2.5218
Dy 1.0149 -2.2650 0.0714
Ni -0.4939 -0.1664 1.7425
C 0.0000 0.0000 0.0000
Dy 2.1635 0.9917 0.7080